## CaCuSe2 (GGA-PBE)

Data for a relaxed CaCuSe2 crystal.

* formation energy from raw total energies: -2.6 eV per formula unit
* crystal system: tetragonal

Cell and atoms, written as POSCAR:
```
CaCuSe2
1.0
4.7563 0.0000 0.0000
0.0000 4.7550 0.0000
0.0000 0.0000 3.6114
Se Cu Ca
2 1 1
Direct
0.0000 0.0000 0.0000
0.5000 0.5000 0.0000
0.0000 0.5000 0.5000
0.5000 0.0000 0.5000
```

## NiBiSe2Br (GGA-PBE)

Data for a relaxed NiBiSe2Br crystal.

* ΔE to the lowest computed polymorph: 759 meV/atom
* formation energy from raw total energies: 3.9 eV per formula unit
* crystal system: tetragonal

Cell and atoms, written as POSCAR:
```
NiBiSe2Br
1.0
-1.6069 -5.2804 -0.2824
5.1060 -1.4726 -1.5182
1.3920 -0.7108 5.3707
Se Ni Bi Br
2 1 1 1
Direct
0.0000 0.5000 0.0000
0.5000 0.0000 0.0000
0.5000 0.5000 0.5000
0.0000 0.0000 0.0000
0.0000 0.0000 0.5000
```

## ZrBeBr (GGA-PBE)

Data for a relaxed ZrBeBr crystal.

* ΔE to the lowest computed polymorph: 1167 meV/atom
* formation energy from raw total energies: 1.0 eV per formula unit
* crystal system: hexagonal

Cell and atoms, written as POSCAR:
```
ZrBeBr
1.0
-0.6537 -4.4381 -0.9271
0.4649 1.3889 4.3404
-3.2174 0.4307 0.2068
Br Be Zr
1 1 1
Direct
0.6667 0.3333 0.5002
0.0000 0.0000 0.9996
0.3333 0.6667 0.5002
```

## Ni2RuRh6 (GGA-PBE)

Data for a relaxed Ni2RuRh6 crystal.

* ΔE to the lowest computed polymorph: 337 meV/atom
* crystal system: trigonal
* DFT formation energy: 4.73 eV per formula unit

Cell and atoms, written as POSCAR:
```
Ni2RuRh6
1.0
-4.3276 -3.0111 -0.4510
0.1310 -5.0656 1.5233
-3.1039 -1.0711 5.8950
Ni Rh Ru
2 6 1
Direct
0.5585 0.5585 0.3244
0.7676 0.7676 0.6972
0.0568 0.5740 0.3123
0.7831 0.2667 0.6834
0.2667 0.2667 0.6834
0.0568 0.0568 0.3123
0.5740 0.0568 0.3123
0.2667 0.7831 0.6834
0.3353 0.3353 0.9940
```

## BeCu5 (GGA-PBE)

Data for a relaxed BeCu5 crystal.

* ΔE to the lowest computed polymorph: 29 meV/atom
* crystal system: monoclinic
* DFT formation energy: -0.01 eV per formula unit

Cell and atoms, written as POSCAR:
```
BeCu5
1.0
-3.9572 2.6690 -0.9430
-4.7848 0.7351 0.4870
-0.5736 3.6538 4.6094
Cu Be
5 1
Direct
0.6589 0.6589 0.6893
0.6076 0.6076 0.2567
0.3305 0.3305 0.3340
0.9496 0.9496 0.6059
0.2908 0.2908 0.9414
0.9959 0.9959 0.0060
```

## NaInAsS4 (GGA-PBE)

Data for a relaxed NaInAsS4 crystal.

* formation energy from raw total energies: -2.5 eV per formula unit
* crystal system: orthorhombic

Cell and atoms, written as POSCAR:
```
NaInAsS4
1.0
-2.4255 3.0351 -6.7687
-4.6547 -4.0586 -4.6513
-7.3698 2.1605 -0.8898
As S In Na
2 8 2 2
Direct
0.3684 0.3816 0.8816
0.6316 0.6184 0.1184
0.2571 0.2568 0.2291
0.2571 0.7291 0.7568
0.7429 0.7432 0.7709
0.7722 0.2519 0.7519
0.2278 0.7481 0.2481
0.2240 0.2519 0.7519
0.7429 0.2709 0.2432
0.7760 0.7481 0.2481
0.0000 0.0000 0.0000
0.0000 0.5000 0.5000
0.5000 0.0000 0.5000
0.0000 0.0000 0.5000
```

## Li2NpSe4 (GGA-PBE)

Data for a relaxed Li2NpSe4 crystal.

* ΔE to the lowest computed polymorph: 0 meV/atom
* formation energy from raw total energies: -6.3 eV per formula unit
* crystal system: tetragonal

Cell and atoms, written as POSCAR:
```
Li2NpSe4
1.0
6.6524 0.0000 -3.1714
-2.9411 6.4296 -2.0790
-0.7701 0.0000 7.3293
Li Se Np
4 8 2
Direct
0.3750 0.9547 0.8297
0.1703 0.5453 0.1250
0.5797 0.4547 0.6250
0.8750 0.0453 0.4203
0.1081 0.3462 0.3821
0.0359 0.6538 0.7619
0.1321 0.8462 0.3581
0.2381 0.2740 0.8919
0.6419 0.7740 0.4881
0.5119 0.1538 0.2859
0.7141 0.2260 0.8679
0.6179 0.7260 0.9641
0.7500 0.5000 0.2500
0.0000 0.0000 0.0000
```

## TmAgS2 (GGA-PBE)

Data for a relaxed TmAgS2 crystal.

* formation energy from raw total energies: -5.2 eV per formula unit
* crystal system: tetragonal

Cell and atoms, written as POSCAR:
```
TmAgS2
1.0
-3.5937 -1.1447 6.0306
-5.1059 -4.9389 -0.3607
6.8589 0.3757 -1.8458
S Ag Tm
4 2 2
Direct
0.2338 0.2338 0.0000
0.5325 0.0325 0.5000
0.7825 0.7825 0.0000
0.9838 0.4838 0.5000
0.2125 0.7125 0.5000
0.4625 0.4625 0.0000
0.0057 0.0057 0.0000
0.7557 0.2557 0.5000
```

The following calculated density values (in Mg/m³) correspond, in order, to the records above: 5.3 4.9 5.1 9.5 8.0 3.4 6.3 6.5.
The following energy values (in eV per atom) correspond, in order, to the records above: -3.907 -2.877 -4.306 -6.691 -4.036 -3.962 -5.291 -5.196.